No. 1
## BaSrSnP2 (PBE)

Data for a geometry-optimized BaSrSnP2 structure.

Calculated values
The total DFT energy (no corrections) is -4.22 eV per atom. The space group is P2/c (13). The calculation puts the density of states at the Fermi level at 4.34 states/eV/f.u.

abc: 7.224 5.392 8.528
angles: 90.00 102.08 90.00
Positions (direct):
Ba 0.000 0.167 0.250
Ba 0.000 0.833 0.750
Sr 0.500 0.486 0.750
Sr 0.500 0.514 0.250
Sn 0.500 0.000 0.000
Sn 0.500 0.000 0.500
P 0.224 0.302 0.956
P 0.224 0.698 0.456
P 0.776 0.302 0.544
P 0.776 0.698 0.044

=====

No. 2
## BaTa2SnP (PBE)

Data for a geometry-optimized BaTa2SnP structure.

Calculated values
The total DFT energy (no corrections) is -6.54 eV per atom. The space group is P4/mmm (123). The calculation puts the density of states at the Fermi level at 6.23 states/eV/f.u.

abc: 4.789 4.789 5.711
angles: 90.00 90.00 90.00
Positions (direct):
Ba 0.000 0.000 0.000
Ta 0.000 0.500 0.500
Ta 0.500 0.000 0.500
Sn 0.500 0.500 0.000
P 0.500 0.500 0.500

=====

No. 3
## BaTcSn2P (PBE)

Data for a geometry-optimized BaTcSn2P structure.

Calculated values
The total DFT energy (no corrections) is -2.99 eV per atom. The space group is P4/mmm (123). The calculation puts the density of states at the Fermi level at 7.18 states/eV/f.u.

abc: 6.039 6.039 5.363
angles: 90.00 90.00 90.00
Positions (direct):
Ba 0.000 0.000 0.000
Tc 0.500 0.500 0.500
Sn 0.000 0.500 0.000
Sn 0.500 0.000 0.000
P 0.000 0.000 0.500

=====

No. 4
## BaTlSnP2 (PBE)

Data for a geometry-optimized BaTlSnP2 structure.

Calculated values
The total DFT energy (no corrections) is -3.16 eV per atom. The space group is P4/mmm (123). The calculation puts the density of states at the Fermi level at 4.48 states/eV/f.u.

abc: 5.199 5.199 6.269
angles: 90.00 90.00 90.00
Positions (direct):
Ba 0.000 0.000 0.000
Tl 0.000 0.000 0.500
Sn 0.500 0.500 0.000
P 0.000 0.500 0.500
P 0.500 0.000 0.500

=====

No. 5
## BaZrSnP2 (PBE)

Data for a geometry-optimized BaZrSnP2 structure.

Calculated values
The total DFT energy (no corrections) is -3.64 eV per atom. The space group is P4/mmm (123). The calculation puts the density of states at the Fermi level at 3.88 states/eV/f.u.

abc: 5.224 5.224 5.976
angles: 90.00 90.00 90.00
Positions (direct):
Ba 0.000 0.000 0.000
Zr 0.500 0.500 0.500
Sn 0.000 0.000 0.500
P 0.000 0.500 0.000
P 0.500 0.000 0.000

=====

No. 6
## BaSrP2 (PBE)

Data for a geometry-optimized BaSrP2 structure.

Calculated values
The total DFT energy (no corrections) is -4.54 eV per atom. The space group is Cm (8). Its polymorph energy (0 for the lowest one) is 0 meV/atom. The calculation puts the density of states at the Fermi level at 0.15 states/eV/f.u.

abc: 5.973 5.973 4.830
angles: 97.90 97.90 43.52
Positions (direct):
Ba 0.000 0.000 0.000
Sr 0.740 0.740 0.527
P 0.283 0.283 0.114
P 0.450 0.450 0.448

=====

No. 7
## Ba2SrP (PBE)

Data for a geometry-optimized Ba2SrP structure.

Calculated values
The total DFT energy (no corrections) is -2.68 eV per atom. The space group is F-43m (216). The calculation puts the density of states at the Fermi level at 4.48 states/eV/f.u.

abc: 5.890 5.890 5.890
angles: 60.00 60.00 60.00
Positions (direct):
Ba 0.000 0.000 0.000
Ba 0.250 0.250 0.250
Sr 0.750 0.750 0.750
P 0.500 0.500 0.500

=====

No. 8
## BaSrP2 (PBE)

Data for a geometry-optimized BaSrP2 structure.

Calculated values
The total DFT energy (no corrections) is -4.25 eV per atom. The space group is Cmmm (65). Its polymorph energy (0 for the lowest one) is 284 meV/atom. The calculation puts the density of states at the Fermi level at 3.40 states/eV/f.u.

abc: 5.416 5.416 3.843
angles: 90.00 90.00 99.45
Positions (direct):
Ba 0.000 0.000 0.000
Sr 0.500 0.500 0.000
P 0.000 0.500 0.500
P 0.500 0.000 0.500

=====

No. 9
## BaSrP2 (PBE)

Data for a geometry-optimized BaSrP2 structure.

Calculated values
The total DFT energy (no corrections) is -4.39 eV per atom. The space group is Immm (71). Its polymorph energy (0 for the lowest one) is 148 meV/atom. The calculation puts the density of states at the Fermi level at 0.59 states/eV/f.u.

abc: 5.350 5.350 5.350
angles: 116.91 110.51 101.37
Positions (direct):
Ba 0.000 0.000 0.000
Sr 0.500 0.500 0.000
P 0.326 0.826 0.500
P 0.674 0.174 0.500

=====

No. 10
## Ba2SrP (PBE)

Data for a geometry-optimized Ba2SrP structure.

Calculated values
The total DFT energy (no corrections) is -2.89 eV per atom. The space group is I-4m2 (119). The calculation puts the density of states at the Fermi level at 3.14 states/eV/f.u.

abc: 6.893 6.893 6.893
angles: 136.97 136.97 62.48
Positions (direct):
Ba 0.000 0.000 0.000
Ba 0.750 0.250 0.500
Sr 0.500 0.500 0.000
P 0.250 0.750 0.500

=====

No. 11
## Ba2SrP (PBE)

Data for a geometry-optimized Ba2SrP structure.

Calculated values
The total DFT energy (no corrections) is -3.31 eV per atom. The space group is P2_1/c (14). The calculation puts the density of states at the Fermi level at 3.52 states/eV/f.u.

abc: 7.942 7.602 15.438
angles: 90.00 120.90 90.00
Positions (direct):
Ba 0.006 0.235 0.422
Ba 0.006 0.265 0.922
Ba 0.337 0.735 0.922
Ba 0.337 0.765 0.422
Ba 0.663 0.235 0.578
Ba 0.663 0.265 0.078
Ba 0.994 0.735 0.078
Ba 0.994 0.765 0.578
Sr 0.350 0.249 0.249
Sr 0.350 0.251 0.749
Sr 0.650 0.749 0.251
Sr 0.650 0.751 0.751
P 0.346 0.501 0.096
P 0.346 0.999 0.596
P 0.654 0.001 0.404
P 0.654 0.499 0.904

=====

No. 12
## Ba2SrP (PBE)

Data for a geometry-optimized Ba2SrP structure.

Calculated values
The total DFT energy (no corrections) is -3.17 eV per atom. The space group is I-42d (122). The calculation puts the density of states at the Fermi level at 2.59 states/eV/f.u.

abc: 8.729 8.729 8.729
angles: 96.88 96.88 139.50
Positions (direct):
Ba 0.375 0.228 0.353
Ba 0.772 0.125 0.147
Ba 0.875 0.022 0.647
Ba 0.978 0.625 0.853
Sr 0.250 0.750 0.500
Sr 0.500 0.500 0.000
P 0.000 0.000 0.000
P 0.750 0.250 0.500

=====

Number 1: ΔE_f -532 meV/atom. Number 2: ΔE_f 465 meV/atom. Number 3: ΔE_f 2153 meV/atom. Number 4: ΔE_f 662 meV/atom. Number 5: ΔE_f 1420 meV/atom. Number 6: ΔE_f -930 meV/atom. Number 7: ΔE_f 59 meV/atom. Number 8: ΔE_f -645 meV/atom. Number 9: ΔE_f -782 meV/atom. Number 10: ΔE_f -161 meV/atom. Number 11: ΔE_f -578 meV/atom. Number 12: ΔE_f -438 meV/atom.